Compound: K3MnOs2O8
Source: the Alexandria database
Functional: PBE+U
Structure: relaxed Values from VASP.

The structure in Quantum ESPRESSO input format:
```
&SYSTEM
  ibrav = 0, nat = 14, ntyp = 4
/
ATOMIC_SPECIES
K 39.10 K.upf
Mn 54.94 Mn.upf
Os 190.23 Os.upf
O 16.00 O.upf
CELL_PARAMETERS angstrom
-1.3884 0.2380 -5.7209
-0.2003 -5.1424 2.8686
-7.3947 1.3198 1.8495
ATOMIC_POSITIONS crystal
K 0.3333 0.6667 0.6523
K 0.6667 0.3333 0.3477
K 0.0000 0.0000 0.0000
Mn 0.0000 0.0000 0.5000
Os 0.3333 0.6667 0.2198
Os 0.6667 0.3333 0.7802
O 0.3333 0.6667 0.9897
O 0.6667 0.3333 0.0103
O 0.1701 0.8299 0.3277
O 0.8299 0.1701 0.6723
O 0.1701 0.3401 0.3277
O 0.8299 0.6599 0.6723
O 0.6599 0.8299 0.3277
O 0.3401 0.1701 0.6723
```

Calculated values
Calculated total energy: -90.3 eV for the cell shown
N(E_F): 0.411 states/eV per atom